VASP calculation (PBE-GGA) on an optimized crystal structure of ZrBeTcNi2.

Lattice parameters (Å, degrees): 3.976 4.257 3.976 90.00 90.00 90.00
Element x y z (fractional)
Ni1 0.000 0.000 0.500
Ni2 0.500 0.000 0.000
Tc1 0.000 0.500 0.000
Zr1 0.500 0.500 0.500
Be1 0.000 0.000 0.000

Values from the calculation:
For the density of states at the Fermi level, the calculation gives 4.7 states/eV/f.u. The formation energy from the elements comes out at -0.116 eV/atom. The value obtained for the magnetic moment is 0.00 μB/cell. The value obtained for the density is 7.8 g cm⁻³. The total energy comes out at -34.78 eV per cell. The calculation puts the volume at 67.29 Å³/cell.

VASP calculation (PBE-GGA) on an optimized crystal structure of BeNiTe2.

Lattice parameters (Å, degrees): 3.677 4.863 4.726 79.48 90.00 90.00
Element x y z (fractional)
Ni1 0.500 0.750 0.750
Te1 0.000 0.994 0.993
Te2 0.000 0.506 0.507
Be1 0.500 0.250 0.250

Values from the calculation:
For the density of states at the Fermi level, the calculation gives 1.8 states/eV/f.u. For the energy relative to the elements, uncorrected, the calculation gives 0.320 eV per atom. The value obtained for the magnetic moment is 0.00 μB/cell. The value obtained for the density is 6.5 g cm⁻³. The total energy comes out at -14.51 eV per cell. The calculation puts the volume at 83.08 Å³/cell.

VASP calculation (PBE-GGA) on an optimized crystal structure of BeNiTe2.

Lattice parameters (Å, degrees): 4.787 4.787 5.017 64.03 64.03 100.22
Element x y z (fractional)
Ni1 0.000 0.500 0.500
Te1 0.000 0.000 0.000
Te2 0.500 0.500 0.000
Be1 0.500 0.000 0.500

Values from the calculation:
For the density of states at the Fermi level, the calculation gives 2.5 states/eV/f.u. For the energy relative to the elements, uncorrected, the calculation gives 0.321 eV per atom. The value obtained for the magnetic moment is 0.00 μB/cell. The value obtained for the density is 6.5 g cm⁻³. The total energy comes out at -14.51 eV per cell. The calculation puts the volume at 82.66 Å³/cell.